No. 1
BSbOsI2 | the Alexandria database | SCAN | PBEsol geometry; symmetry = No. 123
1.0
-2.788 0.301 3.665
2.256 -3.592 2.011
2.984 3.007 2.023
I Sb B Os
2 1 1 1
direct
0.000 0.000 0.500
0.000 0.500 0.000
0.500 0.000 0.000
0.000 0.000 0.000
0.500 0.500 0.500

=====

No. 2
SnBOsI2 | the Alexandria database | SCAN | PBEsol geometry; symmetry = No. 123
1.0
-2.975 2.920 0.107
-1.458 -1.282 -5.553
-3.856 -3.999 1.936
I B Os Sn
2 1 1 1
direct
0.000 0.000 0.500
0.000 0.500 0.000
0.500 0.000 0.000
0.500 0.500 0.500
0.000 0.000 0.000

=====

No. 3
BP4S3I3 | the Alexandria database | SCAN | PBEsol geometry; symmetry = No. 62
1.0
-7.574 -4.239 -0.570
1.363 -3.855 10.562
-5.984 10.093 4.457
B P S I
4 16 12 12
direct
0.539 0.250 0.146
0.961 0.250 0.646
0.461 0.750 0.854
0.039 0.750 0.354
0.319 0.250 0.115
0.181 0.250 0.615
0.681 0.750 0.885
0.819 0.750 0.385
0.966 0.250 0.172
0.534 0.250 0.672
0.034 0.750 0.828
0.466 0.750 0.328
0.010 0.351 0.019
0.490 0.149 0.519
0.990 0.851 0.981
0.510 0.649 0.481
0.990 0.649 0.981
0.510 0.851 0.481
0.010 0.149 0.019
0.490 0.351 0.519
0.180 0.250 0.250
0.320 0.250 0.750
0.820 0.750 0.750
0.680 0.750 0.250
0.246 0.396 0.028
0.254 0.104 0.528
0.754 0.896 0.972
0.746 0.604 0.472
0.754 0.604 0.972
0.746 0.896 0.472
0.246 0.104 0.028
0.254 0.396 0.528
0.652 0.250 0.985
0.848 0.250 0.485
0.348 0.750 0.015
0.152 0.750 0.515
0.586 0.414 0.235
0.914 0.086 0.735
0.414 0.914 0.765
0.086 0.586 0.265
0.414 0.586 0.765
0.086 0.914 0.265
0.586 0.086 0.235
0.914 0.414 0.735

=====

No. 4
BSb2PI | the Alexandria database | SCAN | PBEsol geometry; symmetry = No. 123
1.0
-2.682 -0.559 4.384
-2.435 -4.093 -2.011
3.780 -3.185 1.906
I Sb B P
1 2 1 1
direct
0.000 0.000 0.500
0.000 0.500 0.000
0.500 0.000 0.000
0.500 0.500 0.500
0.000 0.000 0.000

=====

No. 5
TcBPI2 | the Alexandria database | SCAN | PBEsol geometry; symmetry = No. 123
1.0
-0.285 -4.103 0.085
2.806 -0.113 3.959
-3.947 0.332 2.807
I P B Tc
2 1 1 1
direct
0.000 0.000 0.500
0.000 0.500 0.000
0.500 0.500 0.500
0.000 0.000 0.000
0.500 0.000 0.000

=====

No. 6
BSbPbI2 | the Alexandria database | SCAN | PBEsol geometry; symmetry = No. 123
1.0
-4.412 -2.134 -0.292
2.208 -4.619 0.387
-0.443 0.217 5.111
Pb I B Sb
1 2 1 1
direct
0.500 0.500 0.500
0.000 0.000 0.500
0.000 0.500 0.000
0.000 0.000 0.000
0.500 0.000 0.000

=====

No. 7
BTe2PbI | the Alexandria database | SCAN | PBEsol geometry; symmetry = No. 123
1.0
5.759 0.000 0.000
0.000 5.759 0.000
0.000 0.000 6.051
Pb I B Te
1 1 1 2
direct
0.000 0.000 0.000
0.000 0.000 0.500
0.500 0.500 0.500
0.000 0.500 0.000
0.500 0.000 0.000

=====

No. 8
BPd2I | the Alexandria database | SCAN | PBEsol geometry; symmetry = No. 122
1.0
5.051 0.000 0.000
0.000 5.051 0.000
-2.525 -2.525 5.978
I B Pd
2 2 4
direct
0.250 0.750 0.500
0.000 0.000 0.000
0.750 0.250 0.500
0.500 0.500 0.000
0.756 0.375 0.250
0.494 0.875 0.250
0.625 0.506 0.750
0.125 0.244 0.750

=====

no.,uncorrected formation energy (eV per atom)
1,1.92
2,2.06
3,-0.16
4,1.57
5,1.61
6,0.69
7,1.34
8,0.22